No. 1
Compound: SrMg2In
Source: Alexandria via LeMat-Bulk
Functional: GGA-PBE
Structure: relaxed

Cell: 6.085 6.085 5.683 Å, 70.68 70.68 37.00°
Fractional positions:
Sr  0.250  0.250  0.250
In  0.750  0.750  0.750
Mg  0.476  0.476  0.539
Mg  0.024  0.024  0.961

Calculated values
As for the space group: C2/m (12). The calculation puts the formation energy at -0.41 eV per formula unit. The volume comes out at 29.67 Å³/atom.


No. 2
Compound: TiBe3Sb
Source: Alexandria via LeMat-Bulk
Functional: GGA-PBE
Structure: relaxed

Cell: 4.521 4.521 4.521 Å, 90.00 90.00 90.00°
Fractional positions:
Be  0.500  0.000  0.000
Be  0.000  0.000  0.500
Sb  0.000  0.000  0.000
Be  0.000  0.500  0.000
Ti  0.500  0.500  0.500

Calculated values
As for the space group: Pm-3m (221). The excess energy over the best structure of this formula in the dataset is 0 meV/atom. The uncorrected formation energy is 1.39 eV per atom. The volume comes out at 18.48 Å³/atom.


No. 3
Compound: YTaTl2P
Source: Alexandria via LeMat-Bulk
Functional: GGA-PBE
Structure: relaxed

Cell: 5.165 5.219 5.165 Å, 90.00 90.00 90.00°
Site moments in Bohr magnetons follow the coordinates.
Fractional positions:
P  0.000  0.000  0.000  0.04
Tl  0.500  0.000  0.000  0.00
Tl  0.000  0.000  0.500  -0.02
Y  0.000  0.500  0.000  0.08
Ta  0.500  0.500  0.500  1.70

Calculated values
As for the space group: P4/mmm (123). The calculation puts the formation energy at 4.45 eV per formula unit. The volume comes out at 27.85 Å³/atom.


No. 4
Compound: Ho2Zr2N3
Source: Alexandria via LeMat-Bulk
Functional: GGA-PBE
Structure: relaxed

Cell: 3.397 5.958 5.766 Å, 103.79 90.00 106.60°
Fractional positions:
N  0.250  0.501  0.744
N  0.750  0.499  0.256
Ho  0.380  0.758  0.139
N  0.000  0.000  0.000
Zr  0.139  0.279  0.354
Zr  0.861  0.721  0.646
Ho  0.620  0.242  0.861

Calculated values
As for the space group: P-1 (2). The uncorrected formation energy is -1.50 eV per atom. The volume comes out at 15.47 Å³/atom.


No. 5
Compound: NaY3Al
Source: Alexandria via LeMat-Bulk
Functional: GGA-PBE
Structure: relaxed

Cell: 5.660 5.660 5.660 Å, 90.00 90.00 90.00°
Site moments in Bohr magnetons follow the coordinates.
Fractional positions:
Y  0.500  0.000  0.000  0.13
Y  0.000  0.000  0.500  0.14
Y  0.000  0.500  0.000  0.12
Na  0.500  0.500  0.500  0.01
Al  0.000  0.000  0.000  0.01

Calculated values
As for the space group: Pm-3m (221). The calculation puts the formation energy at 1.62 eV per formula unit. The excess energy over the best structure of this formula in the dataset is 0 meV/atom. The volume comes out at 36.27 Å³/atom.


No. 6
Compound: BaLiMg
Source: Alexandria via LeMat-Bulk
Functional: GGA-PBE
Structure: relaxed

Cell: 5.827 5.827 5.827 Å, 60.00 60.00 60.00°
Fractional positions:
Li  0.000  0.000  0.000
Mg  0.500  0.500  0.500
Ba  0.750  0.750  0.750

Calculated values
As for the space group: F-43m (216). The calculation puts the formation energy at 1.34 eV per formula unit. The excess energy over the best structure of this formula in the dataset is 469 meV/atom. The volume comes out at 46.64 Å³/atom.


No. 7
Compound: CaCd2Pd2
Source: Alexandria via LeMat-Bulk
Functional: GGA-PBE
Structure: relaxed

Cell: 4.810 4.810 5.509 Å, 90.18 90.18 60.05°
Fractional positions:
Pd  0.834  0.334  0.155
Pd  0.166  0.666  0.845
Ca  0.500  0.000  0.000
Cd  0.833  0.333  0.649
Cd  0.167  0.667  0.351

Calculated values
As for the space group: C2/m (12). The calculation puts the formation energy at -2.29 eV per formula unit. The excess energy over the best structure of this formula in the dataset is 14 meV/atom. The volume comes out at 22.08 Å³/atom.


No. 8
Compound: Sr2CrCl
Source: Alexandria via LeMat-Bulk
Functional: GGA-PBE
Structure: relaxed

Cell: 4.547 4.547 6.596 Å, 90.00 90.00 90.00°
Site moments in Bohr magnetons follow the coordinates.
Fractional positions:
Cl  0.000  0.000  0.374  0.02
Cr  0.500  0.500  0.875  4.00
Sr  0.500  0.500  0.375  0.04
Sr  0.000  0.000  0.876  0.04

Calculated values
As for the space group: P4mm (99). The excess energy over the best structure of this formula in the dataset is 104 meV/atom. The uncorrected formation energy is -0.32 eV per atom. The volume comes out at 34.09 Å³/atom.


Q: What is the formula in the first record?
A: SrMg2In


Repeat the fifth record exactly.
Compound: NaY3Al
Source: Alexandria via LeMat-Bulk
Functional: GGA-PBE
Structure: relaxed

Cell: 5.660 5.660 5.660 Å, 90.00 90.00 90.00°
Site moments in Bohr magnetons follow the coordinates.
Fractional positions:
Y  0.500  0.000  0.000  0.13
Y  0.000  0.000  0.500  0.14
Y  0.000  0.500  0.000  0.12
Na  0.500  0.500  0.500  0.01
Al  0.000  0.000  0.000  0.01

Calculated values
As for the space group: Pm-3m (221). The calculation puts the formation energy at 1.62 eV per formula unit. The excess energy over the best structure of this formula in the dataset is 0 meV/atom. The volume comes out at 36.27 Å³/atom.


Q: Which formula does entry 2 have?
A: TiBe3Sb